# 1
# PBE-GGA Cs3Np2S4, optimized geometry
# * DOS at the Fermi energy: 5.01 states/eV per cell
# * total magnetization: 5.8 μB/f.u.
# * E: -6.002 eV per atom
# * calculated volume: 312 Å³ per cell
# * energy relative to the elements, uncorrected: -1008 meV per atom
# * space-group type: C2/m, No. 12
data_Cs3Np2S4
_space_group_name_H-M_alt 'P 1'
_space_group_IT_number 1
_cell_length_a 4.121
_cell_length_b 8.726
_cell_length_c 10.383
_cell_angle_alpha 119.88
_cell_angle_beta 90.00
_cell_angle_gamma 103.66
loop_
_space_group_symop_operation_xyz
'x,y,z'
loop_
_atom_site_label
_atom_site_fract_x
_atom_site_fract_y
_atom_site_fract_z
Cs1 0.620 0.240 0.744
Cs2 0.000 0.000 0.000
Cs3 0.380 0.760 0.256
Np1 0.718 0.435 0.409
Np2 0.282 0.565 0.591
S1 0.690 0.380 0.147
S2 0.310 0.620 0.853
S3 0.901 0.803 0.602
S4 0.099 0.197 0.398

=====

# 2
# PBE-GGA Cu2SeN, optimized geometry
# * relative energy among the computed polymorphs: 0.0 meV per atom
# * DOS at the Fermi energy: 6.01 states/eV per cell
# * total magnetization: 0.0 μB/f.u.
# * E: -4.583 eV per atom
# * calculated volume: 118 Å³ per cell
# * energy relative to the elements, uncorrected: 418 meV per atom
# * space-group type: I-42d, No. 122
data_Cu2SeN
_space_group_name_H-M_alt 'P 1'
_space_group_IT_number 1
_cell_length_a 4.672
_cell_length_b 4.672
_cell_length_c 6.346
_cell_angle_alpha 68.40
_cell_angle_beta 68.40
_cell_angle_gamma 90.00
loop_
_space_group_symop_operation_xyz
'x,y,z'
loop_
_atom_site_label
_atom_site_fract_x
_atom_site_fract_y
_atom_site_fract_z
Cu1 0.512 0.125 0.250
Cu2 0.238 0.625 0.250
Cu3 0.375 0.488 0.750
Cu4 0.875 0.762 0.750
Se1 0.000 0.000 0.000
Se2 0.750 0.250 0.500
N1 0.500 0.500 0.000
N2 0.250 0.750 0.500

=====

# 3
# PBE-GGA Ba12Na6Tl, optimized geometry
# * DOS at the Fermi energy: 22.13 states/eV per cell
# * total magnetization: 0.0 μB/f.u.
# * E_form: 42 kJ/mol of formula units
# * E: -1.732 eV per atom
# * calculated volume: 1006 Å³ per cell
# * space-group type: R-3, No. 148
data_Ba12Na6Tl
_space_group_name_H-M_alt 'P 1'
_space_group_IT_number 1
_cell_length_a 10.022
_cell_length_b 10.022
_cell_length_c 10.022
_cell_angle_alpha 88.70
_cell_angle_beta 88.70
_cell_angle_gamma 88.70
loop_
_space_group_symop_operation_xyz
'x,y,z'
loop_
_atom_site_label
_atom_site_fract_x
_atom_site_fract_y
_atom_site_fract_z
Ba1 0.801 0.542 0.442
Ba2 0.442 0.801 0.542
Ba3 0.542 0.442 0.801
Ba4 0.199 0.458 0.558
Ba5 0.558 0.199 0.458
Ba6 0.458 0.558 0.199
Ba7 0.020 0.139 0.353
Ba8 0.861 0.647 0.980
Ba9 0.647 0.980 0.861
Ba10 0.980 0.861 0.647
Ba11 0.139 0.353 0.020
Ba12 0.353 0.020 0.139
Na1 0.733 0.896 0.255
Na2 0.745 0.267 0.104
Na3 0.104 0.745 0.267
Na4 0.267 0.104 0.745
Na5 0.255 0.733 0.896
Na6 0.896 0.255 0.733
Tl1 0.000 0.000 0.000

=====

# 4
# PBE-GGA Re3Sb, optimized geometry
# * relative energy among the computed polymorphs: 14.8 meV per atom
# * DOS at the Fermi energy: 7.78 states/eV per cell
# * total magnetization: 0.0 μB/f.u.
# * E: -9.934 eV per atom
# * calculated volume: 131 Å³ per cell
# * energy relative to the elements, uncorrected: 432 meV per atom
# * space-group type: Cmcm, No. 63
data_Re3Sb
_space_group_name_H-M_alt 'P 1'
_space_group_IT_number 1
_cell_length_a 5.590
_cell_length_b 5.590
_cell_length_c 4.262
_cell_angle_alpha 90.00
_cell_angle_beta 90.00
_cell_angle_gamma 100.01
loop_
_space_group_symop_operation_xyz
'x,y,z'
loop_
_atom_site_label
_atom_site_fract_x
_atom_site_fract_y
_atom_site_fract_z
Re1 0.909 0.091 0.750
Re2 0.091 0.909 0.250
Re3 0.387 0.168 0.750
Re4 0.613 0.832 0.250
Re5 0.832 0.613 0.750
Re6 0.168 0.387 0.250
Sb1 0.669 0.331 0.250
Sb2 0.331 0.669 0.750

=====

Theoretical density: 5.3, 6.2, 3.3, 17.2 (g/cm3)